Er2Al9Fe3 PBE relaxed; magnetization = 1.78 Bohr magnetons per cell; formation energy = -419.0 meV/atom
1.0
6.443 -3.671 0.000
6.443 3.671 0.000
-4.298 0.000 9.416
Er Al Fe
4 18 6
direct
0.089 0.252 0.249
0.252 0.089 0.749
0.748 0.911 0.251
0.911 0.748 0.751
0.023 0.857 0.070
0.143 0.977 0.430
0.190 0.359 0.566
0.206 0.581 0.252
0.318 0.487 0.954
0.359 0.190 0.066
0.360 0.640 0.750
0.419 0.794 0.248
0.487 0.318 0.454
0.513 0.682 0.546
0.581 0.206 0.752
0.640 0.360 0.250
0.641 0.810 0.934
0.682 0.513 0.046
0.794 0.419 0.748
0.810 0.641 0.434
0.857 0.023 0.570
0.977 0.143 0.930
0.000 0.500 0.000
0.154 0.672 0.498
0.328 0.846 0.002
0.500 0.000 0.500
0.672 0.154 0.998
0.846 0.328 0.502



ErAl3Fe3 PBE relaxed; magnetization = 7.84 Bohr magnetons per cell; formation energy = 559.1 meV/atom
1.0
6.443 0.000 0.000
0.000 6.443 0.000
0.000 0.000 6.443
Er Al Fe
2 6 6
direct
0.000 0.000 0.000
0.500 0.500 0.500
0.000 0.250 0.500
0.000 0.750 0.500
0.250 0.500 0.000
0.500 0.000 0.250
0.500 0.000 0.750
0.750 0.500 0.000
0.000 0.500 0.250
0.000 0.500 0.750
0.250 0.000 0.500
0.500 0.250 0.000
0.500 0.750 0.000
0.750 0.000 0.500



> What is the formation energy in the second record?

559.1 meV/atom



> magnetization of number 1 (Er2Al9Fe3)?

1.78 Bohr magnetons per cell